# 1
DFT (PBE-GGA) results for LiPrSi2Ni after structural relaxation.

```
LiPrSi2Ni
1.0
4.125 0.000 0.000
0.000 4.125 0.000
-2.062 -2.062 4.933
Li Pr Si Ni
1 1 2 1
Cartesian
2.062 0.000 2.466
0.000 0.000 0.000
2.062 2.062 1.211
0.000 0.000 3.722
0.000 2.062 2.466
```

uncorrected formation energy: -0.61 eV per atom
crystal system: tetragonal
density of states at the Fermi level: 2.6 states/eV/cell

---

# 2
DFT (PBE-GGA) results for Rb2TlCuI5 after structural relaxation.

```
Rb2TlCuI5
1.0
4.651 0.000 0.000
-2.325 11.069 0.000
0.000 0.000 15.548
Rb Tl Cu I
4 2 2 10
Cartesian
2.325 8.376 13.090
0.000 2.690 10.799
0.000 2.693 5.316
2.325 8.379 3.025
2.325 6.681 8.427
0.000 4.388 0.653
2.325 1.264 14.077
0.000 9.806 6.303
0.000 7.631 0.279
2.325 3.855 13.662
0.000 11.014 11.838
0.000 6.472 10.825
2.325 10.281 7.555
2.325 3.438 8.053
0.000 7.214 5.888
2.325 0.055 4.064
2.325 4.597 3.051
0.000 0.789 15.329
```

uncorrected formation energy: -0.82 eV per atom
crystal system: orthorhombic
density of states at the Fermi level: 19.8 states/eV/cell

---

# 3
DFT (PBE-GGA) results for SrCd4Ru after structural relaxation.

```
SrCd4Ru
1.0
0.000 4.078 4.078
4.078 0.000 4.078
4.078 4.078 0.000
Sr Cd Ru
1 4 1
Cartesian
0.000 0.000 0.000
3.069 5.088 5.088
5.088 5.088 3.069
5.088 3.069 5.088
3.069 3.069 3.069
6.118 6.118 6.118
```

E: -2.2558 eV per atom
crystal system: cubic
density of states at the Fermi level: 6.9 states/eV/cell

---

# 4
DFT (PBE-GGA) results for La2Pr2Se5 after structural relaxation.

```
La2Pr2Se5
1.0
-1.023 6.048 5.186
-8.259 0.548 -2.268
2.942 -4.956 6.360
La Pr Se
4 4 10
Cartesian
-6.055 -0.535 -0.571
-0.966 -0.263 6.336
0.738 -3.873 4.662
-5.374 1.903 2.941
-1.157 1.410 2.402
-5.183 0.231 6.875
-2.716 3.566 5.800
-3.625 -1.925 3.477
0.000 0.000 0.000
-3.170 0.820 4.638
-0.423 -1.341 3.392
-2.812 1.455 8.278
0.043 2.493 5.232
-3.278 -2.379 6.437
-5.918 2.981 5.885
-3.528 0.185 0.999
-6.384 -0.853 4.045
-3.062 4.019 2.840
```

uncorrected formation energy: -1.89 eV per atom
crystal system: orthorhombic
density of states at the Fermi level: 14.9 states/eV/cell

---

# 5
DFT (PBE-GGA) results for Zn2Os after structural relaxation.

```
Zn2Os
1.0
-2.828 1.579 -2.209
-2.625 -0.775 2.807
4.678 9.457 4.248
Zn Os
8 4
Cartesian
0.983 4.968 2.291
-1.759 5.293 2.555
-1.407 0.828 -1.087
0.530 10.610 3.425
1.623 8.198 3.781
-2.398 2.063 1.065
-0.767 4.058 0.403
-0.110 7.380 1.935
0.325 1.644 0.758
-1.101 8.617 4.088
-0.011 6.186 4.435
-0.662 2.898 2.919
```

E: -4.3795 eV per atom
crystal system: tetragonal
density of states at the Fermi level: 8.6 states/eV/cell

---

# 6
DFT (PBE-GGA) results for Nd8Tl2Rh after structural relaxation.

```
Nd8Tl2Rh
1.0
5.488 -1.121 -1.698
-2.941 7.973 -4.230
-0.557 -1.031 9.420
Nd Tl Rh
8 2 1
Cartesian
2.749 2.284 -1.286
3.300 0.202 1.870
4.936 -0.239 -1.020
-1.088 0.928 6.794
-2.516 6.322 -1.383
1.287 3.683 2.205
-1.449 6.215 1.982
-0.884 4.081 5.217
0.423 4.836 -0.831
1.364 1.283 4.555
1.701 -0.254 -0.465
```

energy above the lowest structure with this stoichiometry: 0.103 eV per formula unit
crystal system: monoclinic
density of states at the Fermi level: 12.4 states/eV/cell

---

- Which value of density of states at the Fermi level does entry 5 give?
  8.6 states/eV/cell

---

Copy entry 6 word for word.
DFT (PBE-GGA) results for Nd8Tl2Rh after structural relaxation.

```
Nd8Tl2Rh
1.0
5.488 -1.121 -1.698
-2.941 7.973 -4.230
-0.557 -1.031 9.420
Nd Tl Rh
8 2 1
Cartesian
2.749 2.284 -1.286
3.300 0.202 1.870
4.936 -0.239 -1.020
-1.088 0.928 6.794
-2.516 6.322 -1.383
1.287 3.683 2.205
-1.449 6.215 1.982
-0.884 4.081 5.217
0.423 4.836 -0.831
1.364 1.283 4.555
1.701 -0.254 -0.465
```

energy above the lowest structure with this stoichiometry: 0.103 eV per formula unit
crystal system: monoclinic
density of states at the Fermi level: 12.4 states/eV/cell

---

- The highest density of states at the Fermi level belongs to which entry?
  Rb2TlCuI5

---

- Which of these has the lowest density of states at the Fermi level?
  LiPrSi2Ni